No. 1
# Be4ZnOs PBE relaxed
data_Be4ZnOs
_symmetry_space_group_name_H-M 'F -4 3 m'
_symmetry_Int_Tables_number 216
_symmetry_space_group_name_Hall 'F -4 2 3'
_cell_length_a 6.1532
_cell_length_b 6.1532
_cell_length_c 6.1532
_cell_angle_alpha 90.00
_cell_angle_beta 90.00
_cell_angle_gamma 90.00
loop_
_atom_site_label
_atom_site_fract_x
_atom_site_fract_y
_atom_site_fract_z
Be1 0.1231 0.1231 0.3769
Zn1 0.0000 0.0000 0.0000
Os1 0.2500 0.2500 0.7500
# * formation enthalpy at 0 K: -0.14 eV per atom
# * density: 8.3 g cm⁻³
# * DOS(E_F): 0.722 states/eV/atom
# * magnetic moment: 0.0 μB/f.u.
# * uncorrected energy: -4.70 eV/atom

=====

No. 2
# Tb2Pr3Dy2 PBE relaxed
data_Tb2Pr3Dy2
_symmetry_space_group_name_H-M 'P -1'
_symmetry_Int_Tables_number 2
_cell_length_a 3.5783
_cell_length_b 8.6698
_cell_length_c 8.8556
_cell_angle_alpha 117.96
_cell_angle_beta 90.02
_cell_angle_gamma 101.87
loop_
_symmetry_equiv_pos_as_xyz
'x,y,z'
'-x,-y,-z'
loop_
_atom_site_label
_atom_site_fract_x
_atom_site_fract_y
_atom_site_fract_z
Tb1 0.1379 0.2748 0.3314
Pr1 0.2057 0.4113 0.7890
Pr2 0.5000 0.0000 0.5000
Dy1 0.4290 0.8588 0.0686
# * formation enthalpy at 0 K: 0.04 eV per atom
# * density: 7.5 g cm⁻³
# * DOS(E_F): 1.395 states/eV/atom
# * magnetic moment: 0.0 μB/f.u.
# * uncorrected energy: -4.65 eV/atom
# * energy relative to the lowest polymorph listed for this composition: 0.000 eV per atom

=====

No. 3
# Na3Tb3PuO8 PBE relaxed
data_Na3Tb3PuO8
_symmetry_space_group_name_H-M 'R -3 m'
_symmetry_Int_Tables_number 166
_symmetry_space_group_name_Hall '-R 3 2"'
_cell_length_a 6.9364
_cell_length_b 6.9364
_cell_length_c 16.8318
_cell_angle_alpha 90.00
_cell_angle_beta 90.00
_cell_angle_gamma 120.00
loop_
_atom_site_label
_atom_site_fract_x
_atom_site_fract_y
_atom_site_fract_z
Na1 0.0000 0.5000 0.0000
Tb1 0.0000 0.5000 0.5000
Pu1 0.0000 0.0000 0.5000
O1 0.0000 0.0000 0.2361
O2 0.0129 0.5065 0.2332
# * density: 6.5 g cm⁻³
# * DOS(E_F): 0.273 states/eV/atom
# * magnetic moment: 4.0 μB/f.u.
# * uncorrected energy: -7.58 eV/atom